[1]
CaGeO3 | PBE-GGA | relaxed

Values from the calculation:
The theoretical density comes out at 4.25 g/cm³. Its formation energy without anion corrections is -2318 meV/atom.

Cell lengths 10.9322, 10.9322, 10.9322 Å; angles 109.16, 109.16, 110.10 degrees
Last column: nearest neighbours and their distance in Å.
Element x y z (fractional)
O: 0.5113 0.4499 0.1435  2 Ge 1.81-1.99
O: 0.3256 0.1112 0.8456  1 Ge 1.75
Ca: 0.8767 0.9983 0.6298  7 O 2.35-2.59
O: 0.7082 0.7929 0.3641  2 Ge 1.84-1.93
Ca: 0.7531 0.1233 0.1216  7 O 2.35-2.59
Ge: 0.6250 0.8750 0.2500  6 O 1.91-1.99
O: 0.2245 0.7411 0.6502  1 Ge 1.78
Ge: 0.0000 0.0000 0.0000  4 O 1.78
O: 0.8064 0.9715 0.2480  2 Ge 1.84-1.91
O: 0.9911 0.8409 0.0166  1 Ge 1.78
O: 0.7387 0.3001 0.3565  2 Ge 1.81-1.99
O: 0.2589 0.9091 0.4834  1 Ge 1.78
O: 0.6559 0.2918 0.0848  2 Ge 1.84-1.93
O: 0.4257 0.7755 0.5166  1 Ge 1.78
Ge: 0.6250 0.3750 0.2500  6 O 1.91-1.99
Ca: 0.6250 0.8750 0.7500  6 O 2.31-2.32
Ca: 0.1250 0.8750 0.2500  6 O 2.31-2.32
O: 0.2469 0.8637 0.9596  1 Ge 1.75
Ge: 0.5000 0.5000 0.0000  4 O 1.81
Ge: 0.1250 0.3750 0.7500  6 O 1.91-1.99
Ge: 0.8669 0.2580 0.8617  4 O 1.75-1.84
Ca: 0.2483 0.2483 0.0000  6 O 2.38-2.45
Ge: 0.3831 0.4920 0.6383  4 O 1.75-1.84
Ca: 0.1250 0.3750 0.2500  6 O 2.31-2.32
Ca: 0.4983 0.9983 0.5000  6 O 2.38-2.45
O: 0.3612 0.0156 0.2856  1 Ge 1.75
O: 0.9844 0.2700 0.3456  1 Ge 1.75
O: 0.0031 0.8863 0.5404  1 Ge 1.75
O: 0.1137 0.6540 0.1168  1 Ge 1.75
O: 0.9436 0.3821 0.6435  2 Ge 1.81-1.99
O: 0.8084 0.5564 0.3350  2 Ge 1.84-1.91
Ge: 0.6250 0.3750 0.7500  6 O 1.91-1.99
Ge: 0.9948 0.1331 0.3911  4 O 1.75-1.84
Ca: 0.2483 0.1185 0.6216  7 O 2.35-2.59
O: 0.0909 0.5743 0.3498  1 Ge 1.78
Ca: 0.4969 0.6267 0.3784  7 O 2.35-2.59
O: 0.5373 0.9969 0.8832  1 Ge 1.75
Ge: 0.7420 0.6037 0.6089  4 O 1.75-1.84
O: 0.2656 0.4800 0.1544  1 Ge 1.75
Ca: 0.3685 0.2469 0.3702  7 O 2.35-2.59
Ge: 0.5080 0.1463 0.8911  4 O 1.75-1.84
O: 0.1363 0.0960 0.3832  1 Ge 1.75
O: 0.0429 0.1789 0.5848  2 Ge 1.84-1.93
Ca: 0.0017 0.6315 0.8784  7 O 2.35-2.59
O: 0.3064 0.3679 0.8565  2 Ge 1.81-1.99
O: 0.8888 0.7344 0.2144  1 Ge 1.75
O: 0.6321 0.4887 0.9385  2 Ge 1.81-1.99
O: 0.7300 0.0756 0.7144  1 Ge 1.75
O: 0.4436 0.7785 0.2520  2 Ge 1.84-1.91
Ge: 0.8537 0.7448 0.3617  4 O 1.75-1.84
O: 0.0285 0.2765 0.8350  2 Ge 1.84-1.91
O: 0.2215 0.4735 0.6650  2 Ge 1.84-1.91
O: 0.5200 0.6744 0.7856  1 Ge 1.75
O: 0.2071 0.5711 0.9152  2 Ge 1.84-1.93
O: 0.6999 0.0564 0.4385  2 Ge 1.81-1.99
O: 0.5418 0.9571 0.1359  2 Ge 1.84-1.93
O: 0.3460 0.4627 0.4596  1 Ge 1.75
Ge: 0.2552 0.6169 0.1089  4 O 1.75-1.84
O: 0.5941 0.4582 0.4152  2 Ge 1.84-1.93
Ca: 0.3733 0.7517 0.8702  7 O 2.35-2.59
O: 0.9244 0.6388 0.6544  1 Ge 1.75
O: 0.7127 0.7531 0.6168  1 Ge 1.75
O: 0.5501 0.6936 0.0615  2 Ge 1.81-1.99
Ge: 0.7500 0.2500 0.5000  4 O 1.81
O: 0.4289 0.3441 0.6359  2 Ge 1.84-1.93
O: 0.7235 0.5584 0.7520  2 Ge 1.84-1.91
O: 0.9040 0.2873 0.0404  1 Ge 1.75
O: 0.5265 0.1916 0.7480  2 Ge 1.84-1.91
Ca: 0.0017 0.5017 0.5000  6 O 2.38-2.45
O: 0.8243 0.9745 0.9834  1 Ge 1.78
Ca: 0.7517 0.7517 0.0000  6 O 2.38-2.45
O: 0.0255 0.0089 0.8498  1 Ge 1.78
Ge: 0.2500 0.7500 0.5000  4 O 1.78
Ca: 0.8815 0.5031 0.1298  7 O 2.35-2.59
Ca: 0.1250 0.8750 0.7500  6 O 2.31-2.32
O: 0.4416 0.1936 0.1650  2 Ge 1.84-1.91
Ge: 0.3963 0.0052 0.1383  4 O 1.75-1.84
O: 0.6179 0.2613 0.5615  2 Ge 1.81-1.99
O: 0.8211 0.4059 0.8641  2 Ge 1.84-1.93
O: 0.1591 0.1757 0.1502  1 Ge 1.78

=====

[2]
Ca2GeO4 | PBE-GGA | relaxed

Values from the calculation:
The theoretical density comes out at 3.59 g/cm³. Its formation energy without anion corrections is -2404 meV/atom. As for the energy above the most stable polymorph in this dataset: 0.188 eV/atom.

Cell lengths 5.7992, 5.7992, 6.8907 Å; angles 90.00, 90.00, 120.00 degrees
Last column: nearest neighbours and their distance in Å.
Element x y z (fractional)
O: 0.1727 0.3454 0.2963  1 Ge 1.78
Ca: 0.0000 0.0000 0.0000  6 O 2.68
Ca: 0.6667 0.3333 0.3612  1 O 2.08
O: 0.3333 0.6667 0.9403  1 Ge 1.71
O: 0.3454 0.1727 0.7037  1 Ge 1.78
O: 0.6546 0.8273 0.2963  1 Ge 1.78
Ca: 0.0000 0.0000 0.5000  6 O 2.23
Ca: 0.3333 0.6667 0.6388  1 O 2.08
O: 0.8273 0.6546 0.7037  1 Ge 1.78
Ge: 0.6667 0.3333 0.8111  4 O 1.71-1.78
Ge: 0.3333 0.6667 0.1889  4 O 1.71-1.78
O: 0.6667 0.3333 0.0597  1 Ge 1.71
O: 0.1727 0.8273 0.2963  1 Ge 1.78
O: 0.8273 0.1727 0.7037  1 Ge 1.78

=====

[3]
CaGe3O | PBE-GGA | relaxed

Values from the calculation:
The theoretical density comes out at 2.76 g/cm³. Its formation energy without anion corrections is 1429 meV/atom. As for the energy above the most stable polymorph in this dataset: 1.727 eV/atom.

Cell lengths 5.4841, 5.4841, 5.4841 Å; angles 90.00, 90.00, 90.00 degrees
Last column: nearest neighbours and their distance in Å.
Element x y z (fractional)
Ge: 0.0000 0.5000 0.0000  2 Ca 2.74
O: 0.5000 0.5000 0.5000  12 Ge 3.88
Ca: 0.0000 0.0000 0.0000  6 Ge 2.74
Ge: 0.5000 0.0000 0.0000  2 Ca 2.74
Ge: 0.0000 0.0000 0.5000  2 Ca 2.74

=====

[4]
CaGeO3 | PBE-GGA | relaxed

Values from the calculation:
The theoretical density comes out at 3.51 g/cm³. Its formation energy without anion corrections is -484 meV/atom.

Cell lengths 4.2366, 4.2366, 4.2366 Å; angles 90.00, 90.00, 90.00 degrees
Last column: nearest neighbours and their distance in Å.
Element x y z (fractional)
Ge: 0.5000 0.5000 0.5000  12 O 3.00
O: 0.0000 0.0000 0.5000  2 Ca 2.12
Ca: 0.0000 0.0000 0.0000  6 O 2.12
O: 0.0000 0.5000 0.0000  2 Ca 2.12
O: 0.5000 0.0000 0.0000  2 Ca 2.12

=====

[5]
CaGeO3 | PBE-GGA | relaxed

Values from the calculation:
The theoretical density comes out at 3.84 g/cm³. Its formation energy without anion corrections is -2323 meV/atom.

Cell lengths 5.5397, 7.1689, 7.1689 Å; angles 86.34, 81.39, 81.39 degrees
Last column: nearest neighbours and their distance in Å.
Element x y z (fractional)
O: 0.6552 0.9795 0.7825  1 Ge 1.75
O: 0.8606 0.8603 0.3927  1 Ge 1.72
O: 0.1394 0.1397 0.6073  1 Ge 1.72
O: 0.6394 0.6073 0.1397  1 Ge 1.72
Ge: 0.7726 0.3822 0.1968  4 O 1.72-1.85
O: 0.1552 0.7825 0.9795  1 Ge 1.75
Ca: 0.7500 0.3017 0.6983  6 O 2.31-2.57
Ca: 0.2500 0.0976 0.9024  6 O 2.28-2.41
Ca: 0.7500 0.9024 0.0976  6 O 2.28-2.41
Ge: 0.2274 0.6178 0.8032  4 O 1.72-1.85
O: 0.9481 0.6039 0.6964  2 Ge 1.84-1.85
O: 0.0519 0.3961 0.3036  2 Ge 1.84-1.85
O: 0.3606 0.3927 0.8603  1 Ge 1.72
O: 0.8448 0.2175 0.0205  1 Ge 1.75
O: 0.4481 0.6964 0.6039  2 Ge 1.84-1.85
Ge: 0.7274 0.8032 0.6178  4 O 1.72-1.85
Ge: 0.2726 0.1968 0.3822  4 O 1.72-1.85
Ca: 0.2500 0.6983 0.3017  6 O 2.31-2.57
O: 0.5519 0.3036 0.3961  2 Ge 1.84-1.85
O: 0.3448 0.0205 0.2175  1 Ge 1.75

=====

[6]
Ca3GeO | PBE-GGA | relaxed

Values from the calculation:
The theoretical density comes out at 3.25 g/cm³. Its formation energy without anion corrections is -1568 meV/atom.

Cell lengths 6.7083, 6.7083, 6.7083 Å; angles 120.08, 119.80, 90.10 degrees
Last column: nearest neighbours and their distance in Å.
Element x y z (fractional)
Ca: 0.2721 0.7721 0.0000  2 O 2.38
Ca: 0.7279 0.7279 0.5000  2 O 2.38
Ca: 0.2068 0.7500 0.4568  2 O 2.39
Ge: 0.2515 0.2500 0.0015  7 Ca 3.08-3.36
O: 0.0000 0.5000 0.5000  6 Ca 2.38-2.39
Ca: 0.7279 0.2279 0.0000  2 O 2.38
O: 0.5000 0.0000 0.5000  6 Ca 2.38-2.39
Ca: 0.7932 0.2500 0.5432  2 O 2.39
Ca: 0.2721 0.2721 0.5000  2 O 2.38
Ge: 0.7485 0.7500 0.9985  7 Ca 3.08-3.36

=====

[7]
Ca2GeO4 | PBE-GGA | relaxed

Values from the calculation:
The theoretical density comes out at 3.45 g/cm³. Its formation energy without anion corrections is -2593 meV/atom. As for the energy above the most stable polymorph in this dataset: 0.000 eV/atom.

Cell lengths 5.2965, 6.8413, 11.5245 Å; angles 90.00, 90.00, 90.00 degrees
Last column: nearest neighbours and their distance in Å.
Element x y z (fractional)
Ge: 0.9305 0.7500 0.4041  4 O 1.76-1.81
O: 0.2168 0.4566 0.6634  1 Ge 1.79
O: 0.2636 0.7500 0.4072  1 Ge 1.76
Ca: 0.9930 0.2500 0.2796  6 O 2.32-2.48
O: 0.7168 0.9566 0.8366  1 Ge 1.79
Ca: 0.0000 0.5000 0.0000  6 O 2.35-2.43
Ge: 0.4305 0.2500 0.0959  4 O 1.76-1.81
O: 0.2832 0.0434 0.1634  1 Ge 1.79
Ca: 0.0000 0.0000 0.0000  6 O 2.35-2.43
O: 0.2364 0.7500 0.9072  1 Ge 1.76
Ca: 0.5000 0.0000 0.5000  6 O 2.35-2.43
O: 0.7168 0.5434 0.8366  1 Ge 1.79
Ca: 0.5000 0.5000 0.5000  6 O 2.35-2.43
O: 0.7832 0.9566 0.3366  1 Ge 1.79
Ge: 0.5695 0.7500 0.9041  4 O 1.76-1.81
O: 0.2135 0.2500 0.4535  1 Ge 1.81
O: 0.7364 0.2500 0.5928  1 Ge 1.76
Ge: 0.0695 0.2500 0.5959  4 O 1.76-1.81
O: 0.7636 0.2500 0.0928  1 Ge 1.76
O: 0.7135 0.7500 0.0465  1 Ge 1.81
O: 0.2168 0.0434 0.6634  1 Ge 1.79
O: 0.2865 0.2500 0.9535  1 Ge 1.81
O: 0.7865 0.7500 0.5465  1 Ge 1.81
Ca: 0.0070 0.7500 0.7204  6 O 2.32-2.48
O: 0.2832 0.4566 0.1634  1 Ge 1.79
Ca: 0.5070 0.2500 0.7796  6 O 2.32-2.48
Ca: 0.4930 0.7500 0.2204  6 O 2.32-2.48
O: 0.7832 0.5434 0.3366  1 Ge 1.79

=====

[8]
Ca2GeO4 | PBE-GGA | relaxed

Values from the calculation:
The theoretical density comes out at 4.25 g/cm³. Its formation energy without anion corrections is -2447 meV/atom. As for the energy above the most stable polymorph in this dataset: 0.146 eV/atom.

Cell lengths 3.7905, 3.7905, 6.4702 Å; angles 72.97, 72.97, 90.00 degrees
Last column: nearest neighbours and their distance in Å.
Element x y z (fractional)
O: 0.8379 0.8379 0.3241  1 Ge 1.91
O: 0.5000 0.0000 0.0000  2 Ge 1.90
O: 0.1621 0.1621 0.6759  1 Ge 1.91
O: 0.0000 0.5000 0.0000  2 Ge 1.90
Ca: 0.3544 0.3544 0.2912  1 O 2.27
Ca: 0.6456 0.6456 0.7088  1 O 2.27
Ge: 0.0000 0.0000 0.0000  6 O 1.90-1.91

=====

[9]
CaGe2O | PBE-GGA | relaxed

Values from the calculation:
The theoretical density comes out at 4.16 g/cm³. Its formation energy without anion corrections is -841 meV/atom.

Cell lengths 3.4920, 3.4920, 13.4068 Å; angles 82.52, 82.52, 90.00 degrees
Last column: nearest neighbours and their distance in Å.
Element x y z (fractional)
Ca: 0.7500 0.2500 0.5000  4 O 2.47
Ge: 0.8750 0.8770 0.7500  4 Ge 2.46-2.48
Ge: 0.1230 0.6250 0.2500  4 Ge 2.46-2.48
O: 0.5000 0.5000 0.0000  4 Ca 2.47
O: 0.2500 0.7500 0.5000  4 Ca 2.47
Ca: 0.0000 0.0000 0.0000  4 O 2.47
Ge: 0.3750 0.3730 0.7500  4 Ge 2.46-2.48
Ge: 0.6270 0.1250 0.2500  4 Ge 2.46-2.48

=====

[10]
CaGeO3 | PBE-GGA | relaxed

Values from the calculation:
The theoretical density comes out at 3.64 g/cm³. Its formation energy without anion corrections is -2303 meV/atom.

Cell lengths 7.0074, 7.0074, 11.0536 Å; angles 72.04, 72.04, 60.18 degrees
Last column: nearest neighbours and their distance in Å.
Element x y z (fractional)
Ge: 0.1470 0.8530 0.2500  4 O 1.72-1.82
Ge: 0.6873 0.5811 0.2549  4 O 1.73-1.82
Ge: 0.3127 0.4189 0.7451  4 O 1.73-1.82
O: 0.1084 0.9985 0.0952  1 Ge 1.72
O: 0.8916 0.0015 0.9048  1 Ge 1.72
Ca: 0.1561 0.6704 0.9992  2 O 2.31
O: 0.1671 0.3682 0.8991  1 Ge 1.73
O: 0.0015 0.8916 0.4048  1 Ge 1.72
O: 0.6639 0.3361 0.2500  2 Ge 1.82
O: 0.7214 0.5291 0.4128  1 Ge 1.74
O: 0.2786 0.4709 0.5872  1 Ge 1.74
O: 0.4177 0.8279 0.2520  2 Ge 1.82
O: 0.3361 0.6639 0.7500  2 Ge 1.82
O: 0.9985 0.1084 0.5952  1 Ge 1.72
O: 0.5823 0.1721 0.7480  2 Ge 1.82
Ge: 0.4189 0.3127 0.2451  4 O 1.73-1.82
Ca: 0.6704 0.1561 0.4992  2 O 2.31
Ca: 0.3296 0.8439 0.5008  2 O 2.31
O: 0.5291 0.7214 0.9128  1 Ge 1.74
Ca: 0.5000 0.0000 0.0000  2 O 2.33
O: 0.8279 0.4177 0.7520  2 Ge 1.82
O: 0.4709 0.2786 0.0872  1 Ge 1.74
Ge: 0.8530 0.1470 0.7500  4 O 1.72-1.82
O: 0.3682 0.1671 0.3991  1 Ge 1.73
Ge: 0.5811 0.6873 0.7549  4 O 1.73-1.82
O: 0.1721 0.5823 0.2480  2 Ge 1.82
O: 0.6318 0.8329 0.6009  1 Ge 1.73
Ca: 0.0000 0.5000 0.5000  2 O 2.33
O: 0.8329 0.6318 0.1009  1 Ge 1.73
Ca: 0.8439 0.3296 0.0008  2 O 2.31

=====

[11]
Ca6Ge2O | PBE-GGA | relaxed

Values from the calculation:
The theoretical density comes out at 2.98 g/cm³. Its formation energy without anion corrections is -996 meV/atom. As for the energy above the most stable polymorph in this dataset: 0.027 eV/atom.

Cell lengths 6.8153, 6.8153, 6.8153 Å; angles 60.00, 60.00, 60.00 degrees
Last column: nearest neighbours and their distance in Å.
Element x y z (fractional)
Ca: 0.7536 0.2464 0.2464  1 O 2.37
Ge: 0.2500 0.2500 0.2500  12 Ca 3.41
Ca: 0.2464 0.7536 0.7536  1 O 2.37
Ca: 0.2464 0.2464 0.7536  1 O 2.37
Ge: 0.7500 0.7500 0.7500  12 Ca 3.41
Ca: 0.7536 0.2464 0.7536  1 O 2.37
Ca: 0.7536 0.7536 0.2464  1 O 2.37
Ca: 0.2464 0.7536 0.2464  1 O 2.37
O: 0.0000 0.0000 0.0000  6 Ca 2.37

=====

[12]
Ca5Ge3O11 | PBE-GGA | relaxed

Values from the calculation:
The theoretical density comes out at 3.66 g/cm³. Its formation energy without anion corrections is -2509 meV/atom.

Cell lengths 7.0595, 7.0598, 11.1548 Å; angles 85.04, 84.72, 77.57 degrees
Last column: nearest neighbours and their distance in Å.
Element x y z (fractional)
Ge: 0.1883 0.1867 0.4640  4 O 1.74-1.83
Ca: 0.9186 0.5435 0.2411  5 O 2.32-2.45
Ge: 0.5586 0.5639 0.7329  4 O 1.74-1.90
O: 0.1616 0.1612 0.6211  1 Ge 1.74
O: 0.0296 0.7151 0.6079  1 Ge 1.78
Ca: 0.9864 0.9798 0.7569  6 O 2.34-2.58
Ge: 0.8117 0.8133 0.5360  4 O 1.74-1.83
O: 0.9704 0.2849 0.3921  1 Ge 1.78
O: 0.6447 0.6484 0.5753  2 Ge 1.83-1.90
Ca: 0.7044 0.2979 0.9992  6 O 2.37-2.43
O: 0.5829 0.5793 0.3290  1 Ge 1.78
Ca: 0.6786 0.3218 0.5013  4 O 2.27-2.47
Ge: 0.7919 0.7897 0.9839  4 O 1.77-1.80
Ca: 0.2956 0.7021 0.0008  6 O 2.37-2.43
Ge: 0.2081 0.2103 0.0161  4 O 1.77-1.80
O: 0.4171 0.4207 0.6710  1 Ge 1.78
O: 0.7030 0.0102 0.8966  1 Ge 1.79
Ca: 0.4593 0.0857 0.7629  5 O 2.32-2.46
Ca: 0.0814 0.4565 0.7589  5 O 2.32-2.45
O: 0.3553 0.3516 0.4247  2 Ge 1.83-1.90
Ge: 0.4414 0.4361 0.2671  4 O 1.74-1.90
O: 0.8556 0.8512 0.1259  1 Ge 1.80
Ca: 0.0136 0.0202 0.2431  6 O 2.34-2.58
O: 0.6308 0.6342 0.0328  1 Ge 1.77
O: 0.8384 0.8388 0.3789  1 Ge 1.74
O: 0.1444 0.1488 0.8741  1 Ge 1.80
O: 0.3692 0.3658 0.9672  1 Ge 1.77
O: 0.4115 0.7694 0.7932  1 Ge 1.74
O: 0.2364 0.5843 0.2082  1 Ge 1.74
O: 0.2970 0.9898 0.1034  1 Ge 1.79
O: 0.7159 0.0308 0.6096  1 Ge 1.78
O: 0.5885 0.2306 0.2068  1 Ge 1.74
O: 0.2841 0.9692 0.3904  1 Ge 1.78
O: 0.9884 0.3024 0.1042  1 Ge 1.79
O: 0.7636 0.4157 0.7918  1 Ge 1.74
Ca: 0.3214 0.6782 0.4987  4 O 2.27-2.47
O: 0.0116 0.6976 0.8958  1 Ge 1.79
Ca: 0.5407 0.9143 0.2371  5 O 2.32-2.46